A plane-wave DFT calculation with GGA-PBE was carried out for a relaxed structure of NaTlIO6.

**DOS(E_F)**: 13.6 states/eV/cell
**Space-group type**: P-31c (163)
**Formation energy (no corrections)**: -0.540 eV/atom

Unit cell a=5.5949 b=5.5949 c=10.0451 alpha=90.00 beta=90.00 gamma=120.00
Site moments in Bohr magnetons follow the coordinates.
Atoms (fractional coordinates):
Na1 0.0000 0.0000 0.0000  0.00
Na2 0.0000 0.0000 0.5000  0.00
Tl1 0.3333 0.6667 0.2500  0.01
Tl2 0.6667 0.3333 0.7500  0.01
I1 0.6667 0.3333 0.2500  -0.03
I2 0.3333 0.6667 0.7500  -0.03
O1 0.6559 0.6062 0.1402  0.15
O2 0.9502 0.3441 0.1402  0.15
O3 0.3441 0.9502 0.6402  0.15
O4 0.0498 0.6559 0.8598  0.15
O5 0.3938 0.3441 0.3598  0.15
O6 0.9502 0.6062 0.3598  0.15
O7 0.6062 0.9502 0.8598  0.15
O8 0.6559 0.0498 0.3598  0.15
O9 0.0498 0.3938 0.6402  0.15
O10 0.3938 0.0498 0.1402  0.15
O11 0.6062 0.6559 0.6402  0.15
O12 0.3441 0.3938 0.8598  0.15


A plane-wave DFT calculation with GGA-PBE was carried out for a relaxed structure of Rb3NaCa2F9.

**DOS(E_F)**: 19.1 states/eV/cell
**Space-group type**: P-3m1 (164)
**Formation energy (no corrections)**: -3.020 eV/atom

Unit cell a=6.3631 b=6.3631 c=7.8947 alpha=90.00 beta=90.00 gamma=120.00
Site moments in Bohr magnetons follow the coordinates.
Atoms (fractional coordinates):
Rb1 0.3333 0.6667 0.6510  0.00
Rb2 0.0000 0.0000 0.0000  0.00
Rb3 0.6667 0.3333 0.3490  0.00
Na1 0.0000 0.0000 0.5000  0.00
Ca1 0.3333 0.6667 0.1619  0.00
Ca2 0.6667 0.3333 0.8381  0.00
F1 0.8307 0.1693 0.6681  0.16
F2 0.8307 0.6613 0.6681  0.16
F3 0.3387 0.1693 0.6681  0.16
F4 0.6613 0.8307 0.3319  0.16
F5 0.1693 0.3387 0.3319  0.16
F6 0.1693 0.8307 0.3319  0.16
F7 0.5000 0.0000 0.0000  0.05
F8 0.0000 0.5000 0.0000  0.05
F9 0.5000 0.5000 0.0000  0.05


A plane-wave DFT calculation with GGA-PBE was carried out for a relaxed structure of LaNd12Tl3.

**DOS(E_F)**: 23.8 states/eV/cell
**Space-group type**: P4/mmm (123)
**ΔH_f (0 K)**: -0.141 eV per atom

Unit cell a=5.0093 b=5.0093 c=20.6028 alpha=90.00 beta=90.00 gamma=90.00
Atoms (fractional coordinates):
La1 0.0000 0.0000 0.0000
Nd1 0.5000 0.5000 0.0000
Nd2 0.5000 0.5000 0.2572
Nd3 0.5000 0.5000 0.5000
Nd4 0.5000 0.5000 0.7428
Nd5 0.5000 0.0000 0.1334
Nd6 0.5000 0.0000 0.3783
Nd7 0.5000 0.0000 0.6217
Nd8 0.5000 0.0000 0.8666
Nd9 0.0000 0.5000 0.1334
Nd10 0.0000 0.5000 0.3783
Nd11 0.0000 0.5000 0.6217
Nd12 0.0000 0.5000 0.8666
Tl1 0.0000 0.0000 0.2574
Tl2 0.0000 0.0000 0.5000
Tl3 0.0000 0.0000 0.7426


A plane-wave DFT calculation with GGA-PBE was carried out for a relaxed structure of LaHoTh2N4.

**DOS(E_F)**: 3.0 states/eV/cell
**Space-group type**: P2/m (10)
**Formation energy (no corrections)**: -1.541 eV/atom

Unit cell a=3.6439 b=6.3296 c=6.2603 alpha=109.53 beta=90.00 gamma=90.00
Atoms (fractional coordinates):
La1 0.5000 0.5000 0.0000
Ho1 0.0000 0.0000 0.0000
Th1 0.5000 0.0000 0.5000
Th2 0.0000 0.5000 0.5000
N1 0.5000 0.2416 0.2533
N2 0.5000 0.7584 0.7467
N3 0.0000 0.2358 0.7375
N4 0.0000 0.7642 0.2625


A plane-wave DFT calculation with GGA-PBE was carried out for a relaxed structure of LiAcMgPd2.

**DOS(E_F)**: 2.6 states/eV/cell
**Space-group type**: I-4m2 (119)
**ΔH_f (0 K)**: -0.639 eV per atom

Unit cell a=4.1584 b=4.1584 c=6.9460 alpha=107.42 beta=107.42 gamma=90.00
Atoms (fractional coordinates):
Li1 0.2500 0.7500 0.5000
Ac1 0.0000 0.0000 0.0000
Mg1 0.7500 0.2500 0.5000
Pd1 0.6102 0.6102 0.2205
Pd2 0.3898 0.3898 0.7795


no.,magnetic moment (μB per cell)
1,2.14
2,1.22
3,0.00
4,0.00
5,0.00